No. 1
{
  "formula": "SrCuP",
  "functional": "GGA-PBEsol",
  "state": "relaxed",
  "spacegroup": "P6_3/mmc (194)",
  "formation_enthalpy_0k_ev_per_atom": -0.8376,
  "lattice": [[-0.123, 3.286, 2.382], [0.507, -3.679, 1.641], [8.369, 0.833, -0.716]],
  "species": ["Sr", "Sr", "P", "P", "Cu", "Cu"],
  "frac_coords": [[0.000, 0.000, 0.500], [0.000, 0.000, 0.000], [0.667, 0.333, 0.750], [0.333, 0.667, 0.250], [0.333, 0.667, 0.750], [0.667, 0.333, 0.250]]
}

No. 2
{
  "formula": "Mn3RuRh",
  "functional": "GGA-PBEsol",
  "state": "relaxed",
  "spacegroup": "Pm-3m (221)",
  "formation_enthalpy_0k_ev_per_atom": 1.5348,
  "lattice": [[4.392, 0.000, 0.000], [0.000, 4.392, 0.000], [0.000, 0.000, 4.392]],
  "species": ["Mn", "Mn", "Mn", "Rh", "Ru"],
  "frac_coords": [[0.000, 0.000, 0.500], [0.500, 0.000, 0.000], [0.000, 0.500, 0.000], [0.500, 0.500, 0.500], [0.000, 0.000, 0.000]]
}

No. 3
{
  "formula": "RbFeBP2HO9",
  "functional": "GGA-PBEsol",
  "state": "relaxed",
  "spacegroup": "P2_1/c (14)",
  "dft_energy_ev_per_atom": -7.311,
  "lattice": [[-3.168, 5.268, -5.677], [-7.210, -5.976, -1.521], [-3.363, 5.683, 7.151]],
  "species": ["O", "O", "O", "O", "O", "O", "O", "O", "O", "O", "O", "O", "O", "O", "O", "O", "O", "O", "O", "O", "O", "O", "O", "O", "O", "O", "O", "O", "O", "O", "O", "O", "O", "O", "O", "O", "P", "P", "P", "P", "P", "P", "P", "P", "H", "H", "H", "H", "B", "B", "B", "B", "Fe", "Fe", "Fe", "Fe", "Rb", "Rb", "Rb", "Rb"],
  "frac_coords": [[0.082, 0.589, 0.232], [0.869, 0.355, 0.326], [0.150, 0.895, 0.150], [0.419, 0.191, 0.228], [0.341, 0.916, 0.918], [0.021, 0.925, 0.696], [0.919, 0.809, 0.272], [0.418, 0.589, 0.732], [0.479, 0.925, 0.196], [0.350, 0.895, 0.650], [0.979, 0.075, 0.304], [0.795, 0.585, 0.254], [0.659, 0.084, 0.082], [0.369, 0.645, 0.174], [0.841, 0.084, 0.582], [0.918, 0.411, 0.768], [0.205, 0.415, 0.746], [0.209, 0.650, 0.927], [0.046, 0.309, 0.542], [0.581, 0.809, 0.772], [0.291, 0.650, 0.427], [0.850, 0.105, 0.850], [0.650, 0.105, 0.350], [0.454, 0.309, 0.042], [0.631, 0.355, 0.826], [0.954, 0.691, 0.458], [0.521, 0.075, 0.804], [0.131, 0.645, 0.674], [0.582, 0.411, 0.268], [0.546, 0.691, 0.958], [0.791, 0.350, 0.073], [0.709, 0.350, 0.573], [0.081, 0.191, 0.728], [0.705, 0.585, 0.754], [0.295, 0.415, 0.246], [0.159, 0.916, 0.418], [0.556, 0.074, 0.210], [0.762, 0.419, 0.228], [0.738, 0.419, 0.728], [0.056, 0.926, 0.290], [0.444, 0.926, 0.790], [0.262, 0.581, 0.272], [0.944, 0.074, 0.710], [0.238, 0.581, 0.772], [0.065, 0.396, 0.506], [0.435, 0.396, 0.006], [0.935, 0.604, 0.494], [0.565, 0.604, 0.994], [0.942, 0.666, 0.303], [0.558, 0.666, 0.803], [0.442, 0.334, 0.197], [0.058, 0.334, 0.697], [0.839, 0.203, 0.438], [0.161, 0.797, 0.562], [0.661, 0.203, 0.938], [0.339, 0.797, 0.062], [0.601, 0.808, 0.430], [0.101, 0.192, 0.070], [0.899, 0.808, 0.930], [0.399, 0.192, 0.570]]
}

No. 4
{
  "formula": "ReRu2AuS",
  "functional": "GGA-PBEsol",
  "state": "relaxed",
  "spacegroup": "P4/mmm (123)",
  "raw_formation_energy_ev_per_atom": 1.4590,
  "lattice": [[-4.061, 1.565, 0.178], [-0.589, -1.010, -4.546], [-1.592, -4.263, 1.153]],
  "species": ["Ru", "Ru", "S", "Re", "Au"],
  "frac_coords": [[0.000, 0.500, 0.000], [0.000, 0.000, 0.500], [0.500, 0.000, 0.000], [0.000, 0.000, 0.000], [0.500, 0.500, 0.500]]
}

No. 5
{
  "formula": "BeAl2Cd",
  "functional": "GGA-PBEsol",
  "state": "relaxed",
  "spacegroup": "I4/mmm (139)",
  "formation_enthalpy_0k_ev_per_atom": 0.2998,
  "lattice": [[3.967, 0.000, 0.000], [0.000, 3.967, 0.000], [-1.983, -1.983, 4.021]],
  "species": ["Cd", "Al", "Al", "Be"],
  "frac_coords": [[0.000, 0.000, 0.000], [0.750, 0.250, 0.500], [0.250, 0.750, 0.500], [0.500, 0.500, 0.000]]
}

No. 6
{
  "formula": "CrHg5",
  "functional": "GGA-PBEsol",
  "state": "relaxed",
  "spacegroup": "Cm (8)",
  "formation_enthalpy_0k_ev_per_atom": 0.2262,
  "lattice": [[3.227, 0.000, 0.000], [-1.613, 5.354, 0.028], [0.000, -1.340, 7.515]],
  "species": ["Cr", "Hg", "Hg", "Hg", "Hg", "Hg"],
  "frac_coords": [[0.975, 0.949, 0.949], [0.315, 0.631, 0.708], [0.432, 0.864, 0.236], [0.717, 0.435, 0.372], [0.693, 0.386, 0.979], [0.034, 0.069, 0.590]]
}

No. 7
{
  "formula": "SbP2S2",
  "functional": "GGA-PBEsol",
  "state": "relaxed",
  "spacegroup": "P4/mmm (123)",
  "raw_formation_energy_ev_per_atom": 1.3446,
  "lattice": [[4.726, 0.000, 0.000], [0.000, 5.059, 0.000], [0.000, 0.000, 5.059]],
  "species": ["Sb", "S", "S", "P", "P"],
  "frac_coords": [[0.000, 0.000, 0.000], [0.500, 0.000, 0.000], [0.500, 0.500, 0.500], [0.000, 0.000, 0.500], [0.000, 0.500, 0.000]]
}

No. 8
{
  "formula": "Mg2AlAu",
  "functional": "GGA-PBEsol",
  "state": "relaxed",
  "spacegroup": "Amm2 (38)",
  "formation_enthalpy_0k_ev_per_atom": -0.3210,
  "lattice": [[3.254, 0.000, 0.000], [0.000, 4.364, 0.000], [-1.627, 0.000, 5.254]],
  "species": ["Al", "Mg", "Mg", "Au"],
  "frac_coords": [[0.820, 0.000, 0.640], [0.420, 0.500, 0.841], [0.091, 0.000, 0.182], [0.687, 0.500, 0.375]]
}

No. 9
{
  "formula": "ScBBr2",
  "functional": "GGA-PBEsol",
  "state": "relaxed",
  "spacegroup": "I-42d (122)",
  "raw_formation_energy_ev_per_atom": -0.0341,
  "lattice": [[4.693, 0.000, 0.000], [2.347, 6.841, 0.000], [2.347, 0.000, 6.841]],
  "species": ["Br", "Br", "Br", "Br", "Sc", "Sc", "B", "B"],
  "frac_coords": [[0.788, 0.837, 0.337], [0.875, 0.337, 0.163], [0.962, 0.163, 0.663], [0.375, 0.663, 0.837], [0.750, 0.500, 0.500], [0.000, 0.000, 0.000], [0.500, 0.000, 0.000], [0.250, 0.500, 0.500]]
}

No. 10
{
  "formula": "AlCd2C",
  "functional": "GGA-PBEsol",
  "state": "relaxed",
  "spacegroup": "Fm-3m (225)",
  "formation_enthalpy_0k_ev_per_atom": 1.3158,
  "lattice": [[4.557, 0.000, 0.000], [2.279, 3.947, 0.000], [2.279, 1.316, 3.721]],
  "species": ["C", "Al", "Cd", "Cd"],
  "frac_coords": [[0.000, 0.000, 0.000], [0.500, 0.500, 0.500], [0.250, 0.250, 0.250], [0.750, 0.750, 0.750]]
}

No. 11
{
  "formula": "CuAg2SbF",
  "functional": "GGA-PBEsol",
  "state": "relaxed",
  "spacegroup": "P4/mmm (123)",
  "raw_formation_energy_ev_per_atom": -0.0860,
  "lattice": [[3.748, 0.000, 0.000], [0.000, 4.841, 0.000], [0.000, 0.000, 4.841]],
  "species": ["Sb", "F", "Cu", "Ag", "Ag"],
  "frac_coords": [[0.500, 0.500, 0.500], [0.000, 0.000, 0.000], [0.500, 0.000, 0.000], [0.000, 0.500, 0.000], [0.000, 0.000, 0.500]]
}

No. 12
{
  "formula": "ZnFe2",
  "functional": "GGA-PBEsol",
  "state": "relaxed",
  "spacegroup": "I4_1/amd (141)",
  "formation_enthalpy_0k_ev_per_atom": 0.0366,
  "lattice": [[-2.992, -0.493, -2.180], [1.947, -2.364, -2.138], [-2.407, -6.172, 7.898]],
  "species": ["Zn", "Zn", "Zn", "Zn", "Fe", "Fe", "Fe", "Fe", "Fe", "Fe", "Fe", "Fe"],
  "frac_coords": [[0.333, 0.833, 0.666], [0.083, 0.083, 0.166], [0.167, 0.667, 0.334], [0.917, 0.917, 0.834], [0.999, 0.499, 0.999], [0.420, 0.420, 0.840], [0.749, 0.749, 0.499], [0.251, 0.251, 0.501], [0.580, 0.580, 0.160], [0.501, 0.001, 0.001], [0.670, 0.170, 0.340], [0.830, 0.330, 0.660]]
}